a | The following is a PBE calculation of a relaxed structure of KSbH3, from the Alexandria database.

Results
The spin magnetization comes out at 0.00 μB/atom.

a = 4.279 Å, b = 4.279 Å, c = 4.279 Å
α = 90.00°, β = 90.00°, γ = 90.00°
Sites, in units of the cell vectors:
Sb1 0.500 0.500 0.500
K1 0.000 0.000 0.000
H1 0.000 0.500 0.000
H2 0.000 0.000 0.500
H3 0.500 0.000 0.000

b | The following is a PBE calculation of a relaxed structure of KSbH3, from the Alexandria database.

Results
The spin magnetization comes out at 0.00 μB/atom.

a = 4.319 Å, b = 4.319 Å, c = 4.319 Å
α = 90.00°, β = 90.00°, γ = 90.00°
Sites, in units of the cell vectors:
Sb1 0.000 0.000 0.000
K1 0.500 0.500 0.500
H1 0.000 0.500 0.000
H2 0.000 0.000 0.500
H3 0.500 0.000 0.000

Which of them is most stable, and which least? Most stable: b; least stable: a.